# 1
This record from Alexandria via LeMat-Bulk describes BeTcIO2 after structural relaxation. The functional is PBEsol.

abc: 3.743 3.743 5.806
angles: 90.00 90.00 90.00
Atoms (fractional coordinates):
Be (0.000, 0.000, 0.000)
Tc (0.500, 0.500, 0.500)
I (0.500, 0.500, 0.000)
O (0.000, 0.500, 0.500)
O (0.500, 0.000, 0.500)

Values from the calculation:
Crystal system ... tetragonal
Energy ... -5.88 eV per atom



# 2
This record from Alexandria via LeMat-Bulk describes CaIr3Br after structural relaxation. The functional is PBEsol.

abc: 4.844 4.844 4.844
angles: 90.00 90.00 90.00
Atoms (fractional coordinates):
Ca (0.000, 0.000, 0.000)
Ir (0.000, 0.000, 0.500)
Ir (0.000, 0.500, 0.000)
Ir (0.500, 0.000, 0.000)
Br (0.500, 0.500, 0.500)

Values from the calculation:
Crystal system ... cubic
Energy ... -4.00 eV per atom



# 3
This record from Alexandria via LeMat-Bulk describes TaTiMo2 after structural relaxation. The functional is PBEsol.

abc: 6.323 6.323 6.323
angles: 90.00 90.00 90.00
Atoms (fractional coordinates):
Ta (0.000, 0.000, 0.000)
Ta (0.000, 0.500, 0.500)
Ta (0.500, 0.000, 0.500)
Ta (0.500, 0.500, 0.000)
Ti (0.000, 0.000, 0.500)
Ti (0.000, 0.500, 0.000)
Ti (0.500, 0.000, 0.000)
Ti (0.500, 0.500, 0.500)
Mo (0.250, 0.250, 0.250)
Mo (0.250, 0.250, 0.750)
Mo (0.250, 0.750, 0.250)
Mo (0.250, 0.750, 0.750)
Mo (0.750, 0.250, 0.250)
Mo (0.750, 0.250, 0.750)
Mo (0.750, 0.750, 0.250)
Mo (0.750, 0.750, 0.750)

Values from the calculation:
Crystal system ... cubic
Energy ... -11.22 eV per atom
ΔH_f (0 K) ... -0.114 eV per atom



# 4
This record from Alexandria via LeMat-Bulk describes FeAgTe2Os after structural relaxation. The functional is PBEsol.

abc: 5.151 5.151 4.912
angles: 90.00 90.00 90.00
Atoms (fractional coordinates):
Fe (0.000, 0.000, 0.000)
Ag (0.500, 0.500, 0.500)
Te (0.000, 0.500, 0.500)
Te (0.500, 0.000, 0.500)
Os (0.500, 0.500, 0.000)

Values from the calculation:
Crystal system ... tetragonal
Energy ... -4.28 eV per atom



# 5
This record from Alexandria via LeMat-Bulk describes Tb3Y after structural relaxation. The functional is PBEsol.

abc: 4.938 4.938 9.867
angles: 90.00 90.00 90.00
Atoms (fractional coordinates):
Tb (0.000, 0.000, 0.000)
Tb (0.000, 0.500, 0.250)
Tb (0.000, 0.500, 0.750)
Tb (0.500, 0.000, 0.250)
Tb (0.500, 0.000, 0.750)
Tb (0.500, 0.500, 0.500)
Y (0.000, 0.000, 0.500)
Y (0.500, 0.500, 0.000)

Values from the calculation:
Crystal system ... tetragonal
Energy ... -5.45 eV per atom
ΔH_f (0 K) ... 0.014 eV per atom



# 6
This record from Alexandria via LeMat-Bulk describes Tc2TeSe after structural relaxation. The functional is PBEsol.

abc: 3.167 3.167 6.323
angles: 90.00 90.00 90.00
Atoms (fractional coordinates):
Tc (0.000, 0.000, 0.236)
Tc (0.000, 0.000, 0.764)
Te (0.500, 0.500, 0.500)
Se (0.500, 0.500, 0.000)

Values from the calculation:
Crystal system ... tetragonal
Energy ... -7.27 eV per atom
Excess energy over the best structure of this formula in the dataset ... 199 meV/atom



# 7
This record from Alexandria via LeMat-Bulk describes NiOs2Br after structural relaxation. The functional is PBEsol.

abc: 2.860 3.778 11.178
angles: 90.00 90.00 90.00
Atoms (fractional coordinates):
Ni (0.000, 0.000, 0.000)
Ni (0.500, 0.500, 0.500)
Os (0.000, 0.500, 0.205)
Os (0.000, 0.500, 0.795)
Os (0.500, 0.000, 0.295)
Os (0.500, 0.000, 0.705)
Br (0.000, 0.000, 0.500)
Br (0.500, 0.500, 0.000)

Values from the calculation:
Crystal system ... orthorhombic
Energy ... -7.08 eV per atom
Excess energy over the best structure of this formula in the dataset ... 397 meV/atom



# 8
This record from Alexandria via LeMat-Bulk describes NbZnTe2N after structural relaxation. The functional is PBEsol.

abc: 5.326 5.326 3.542
angles: 90.00 90.00 90.00
Atoms (fractional coordinates):
Nb (0.000, 0.000, 0.000)
Zn (0.500, 0.500, 0.500)
Te (0.000, 0.500, 0.500)
Te (0.500, 0.000, 0.500)
N (0.500, 0.500, 0.000)

Values from the calculation:
Crystal system ... tetragonal
Energy ... -4.69 eV per atom